Entry i
Compound: TlBBr3
Source: the Alexandria database
Functional: PBE-GGA
Structure: optimized geometry

Lattice parameters (Å, degrees): 4.970 4.970 4.970 90.00 90.00 90.00
Fractional coordinates of all 5 atoms:
Br 0.000 0.000 0.500
B 0.000 0.000 0.000
Br 0.000 0.500 0.000
Tl 0.500 0.500 0.500
Br 0.500 0.000 0.000

Output
Crystal system: cubic
Total magnetization: 0.000 μB/f.u.
Space-group type: Pm-3m, No. 221

Entry ii
Compound: TlBBr3
Source: the Alexandria database
Functional: PBE-GGA
Structure: optimized geometry

Lattice parameters (Å, degrees): 7.234 7.991 10.698 90.00 91.30 90.00
Fractional coordinates of all 20 atoms:
Br 0.337 0.225 0.962
Br 0.163 0.725 0.538
Tl 0.963 0.595 0.251
Br 0.560 0.478 0.769
Br 0.663 0.775 0.038
B 0.968 0.916 0.545
B 0.032 0.084 0.455
B 0.532 0.416 0.955
Br 0.940 0.978 0.731
Tl 0.463 0.905 0.751
Tl 0.537 0.095 0.249
Br 0.440 0.522 0.231
Br 0.780 0.312 0.018
Br 0.720 0.812 0.482
Br 0.280 0.188 0.518
Br 0.060 0.022 0.269
Tl 0.037 0.405 0.749
Br 0.220 0.688 0.982
B 0.468 0.584 0.045
Br 0.837 0.275 0.462

Output
Crystal system: monoclinic
Total magnetization: 0.000 μB/f.u.
Space-group type: P2_1/c, No. 14

Most stable pick: entry ii. Distance to second place: 66.2 kJ/mol of atoms.

Entry i
Compound: Tm4BBr5
Source: the Alexandria database
Functional: PBE-GGA
Structure: optimized geometry

Lattice parameters (Å, degrees): 3.847 8.012 10.140 89.73 100.94 90.00
Fractional coordinates of all 10 atoms:
Tm 0.379 0.002 0.758
Br 0.851 0.251 0.702
Br 0.851 0.753 0.701
Tm 0.621 0.998 0.242
Tm 0.000 0.793 0.000
Br 0.500 0.500 0.000
B 0.500 0.000 0.000
Tm 0.000 0.207 0.000
Br 0.149 0.749 0.298
Br 0.149 0.247 0.299

Output
Crystal system: monoclinic
Total magnetization: 0.000 μB/f.u.
Space-group type: C2/m, No. 12

Entry ii
Compound: Tm4BBr5
Source: the Alexandria database
Functional: PBE-GGA
Structure: optimized geometry

Lattice parameters (Å, degrees): 3.853 8.065 9.082 102.45 102.25 90.00
Fractional coordinates of all 10 atoms:
Br 0.835 0.663 0.669
B 0.500 0.000 0.000
Br 0.500 0.500 0.000
Br 0.828 0.167 0.655
Tm 0.999 0.205 0.999
Br 0.172 0.833 0.345
Tm 0.001 0.795 0.001
Tm 0.359 0.926 0.718
Br 0.165 0.337 0.331
Tm 0.641 0.074 0.282

Output
Crystal system: monoclinic
Total magnetization: 0.000 μB/f.u.
Space-group type: C2/m, No. 12

Most stable pick: entry ii. Distance to second place: 2.2 kJ/mol of atoms.

Entry i
Compound: V2B2Br
Source: the Alexandria database
Functional: PBE-GGA
Structure: optimized geometry

Lattice parameters (Å, degrees): 6.418 6.418 3.020 90.00 90.00 90.00
Fractional coordinates of all 10 atoms:
V 0.153 0.347 0.000
B 0.407 0.093 0.500
B 0.593 0.907 0.500
Br 0.500 0.500 0.000
V 0.847 0.653 0.000
B 0.907 0.407 0.500
V 0.653 0.153 0.000
V 0.347 0.847 0.000
Br 0.000 0.000 0.000
B 0.093 0.593 0.500

Output
Crystal system: tetragonal
Total magnetization: 0.000 μB/f.u.
Space-group type: P4/mbm, No. 127

Entry ii
Compound: V2B2Br
Source: the Alexandria database
Functional: PBE-GGA
Structure: optimized geometry

Lattice parameters (Å, degrees): 3.000 3.000 6.772 77.20 77.20 90.00
Fractional coordinates of all 5 atoms:
B 0.250 0.750 0.500
V 0.623 0.623 0.754
V 0.377 0.377 0.246
B 0.750 0.250 0.500
Br 0.000 0.000 0.000

Output
Crystal system: tetragonal
Total magnetization: 0.000 μB/f.u.
Space-group type: I4/mmm, No. 139

Most stable pick: entry i. Distance to second place: 2.9 kJ/mol of atoms.

Entry i
Compound: V2BBr
Source: the Alexandria database
Functional: PBE-GGA
Structure: optimized geometry

Lattice parameters (Å, degrees): 5.379 5.379 6.248 64.50 64.50 90.00
Fractional coordinates of all 8 atoms:
V 0.544 0.125 0.250
V 0.375 0.456 0.750
V 0.875 0.794 0.750
Br 0.000 0.000 0.000
B 0.500 0.500 0.000
V 0.206 0.625 0.250
B 0.250 0.750 0.500
Br 0.750 0.250 0.500

Output
Crystal system: tetragonal
Total magnetization: 3.658 μB/f.u.
Space-group type: I-42d, No. 122

Entry ii
Compound: V2BBr
Source: the Alexandria database
Functional: PBE-GGA
Structure: optimized geometry

Lattice parameters (Å, degrees): 4.128 4.128 4.128 60.00 60.00 60.00
Fractional coordinates of all 4 atoms:
B 0.000 0.000 0.000
Br 0.500 0.500 0.500
V 0.250 0.250 0.250
V 0.750 0.750 0.750

Output
Crystal system: cubic
Total magnetization: 0.000 μB/f.u.
Space-group type: Fm-3m, No. 225

Most stable pick: entry i. Distance to second place: 12.0 kJ/mol of atoms.

Entry i
Compound: B3WBr
Source: the Alexandria database
Functional: PBE-GGA
Structure: optimized geometry

Lattice parameters (Å, degrees): 4.363 4.363 4.363 90.00 90.00 90.00
Fractional coordinates of all 5 atoms:
B 0.500 0.000 0.000
B 0.000 0.000 0.500
W 0.000 0.000 0.000
Br 0.500 0.500 0.500
B 0.000 0.500 0.000

Output
Crystal system: cubic
Total magnetization: 1.536 μB/f.u.
Space-group type: Pm-3m, No. 221

Entry ii
Compound: B3WBr
Source: the Alexandria database
Functional: PBE-GGA
Structure: optimized geometry

Lattice parameters (Å, degrees): 3.999 3.999 3.999 90.00 90.00 90.00
Fractional coordinates of all 5 atoms:
B 0.000 0.500 0.000
Br 0.000 0.000 0.000
B 0.000 0.000 0.500
W 0.500 0.500 0.500
B 0.500 0.000 0.000

Output
Crystal system: cubic
Total magnetization: 0.000 μB/f.u.
Space-group type: Pm-3m, No. 221

Most stable pick: entry i. Distance to second place: 99.7 kJ/mol of atoms.

Entry i
Compound: BW2Br
Source: the Alexandria database
Functional: PBE-GGA
Structure: optimized geometry

Lattice parameters (Å, degrees): 4.257 4.257 4.257 60.00 60.00 60.00
Fractional coordinates of all 4 atoms:
Br 0.500 0.500 0.500
B 0.000 0.000 0.000
W 0.250 0.250 0.250
W 0.750 0.750 0.750

Output
Crystal system: cubic
Total magnetization: 0.000 μB/f.u.
Space-group type: Fm-3m, No. 225

Entry ii
Compound: BW2Br
Source: the Alexandria database
Functional: PBE-GGA
Structure: optimized geometry

Lattice parameters (Å, degrees): 4.530 4.530 7.607 72.68 72.68 90.00
Fractional coordinates of all 8 atoms:
B 0.250 0.750 0.500
Br 0.750 0.250 0.500
W 0.375 0.468 0.750
B 0.500 0.500 0.000
W 0.875 0.782 0.750
W 0.218 0.625 0.250
Br 0.000 0.000 0.000
W 0.532 0.125 0.250

Output
Crystal system: tetragonal
Total magnetization: 0.000 μB/f.u.
Space-group type: I-42d, No. 122

Most stable pick: entry ii. Distance to second place: 10.2 kJ/mol of atoms.

Entry i
Compound: B2WBr
Source: the Alexandria database
Functional: PBE-GGA
Structure: optimized geometry

Lattice parameters (Å, degrees): 5.359 5.359 6.192 64.36 64.36 90.00
Fractional coordinates of all 8 atoms:
W 0.000 0.000 0.000
B 0.675 0.125 0.250
Br 0.250 0.750 0.500
B 0.875 0.925 0.750
W 0.750 0.250 0.500
B 0.075 0.625 0.250
B 0.375 0.325 0.750
Br 0.500 0.500 0.000

Output
Crystal system: tetragonal
Total magnetization: 0.000 μB/f.u.
Space-group type: I-42d, No. 122

Entry ii
Compound: B2WBr
Source: the Alexandria database
Functional: PBE-GGA
Structure: optimized geometry

Lattice parameters (Å, degrees): 4.119 4.119 4.119 60.00 60.00 60.00
Fractional coordinates of all 4 atoms:
Br 0.000 0.000 0.000
W 0.500 0.500 0.500
B 0.250 0.250 0.250
B 0.750 0.750 0.750

Output
Crystal system: cubic
Total magnetization: 0.000 μB/f.u.
Space-group type: Fm-3m, No. 225

Most stable pick: entry i. Distance to second place: 63.7 kJ/mol of atoms.

Entry i
Compound: ZnB2Br
Source: the Alexandria database
Functional: PBE-GGA
Structure: optimized geometry

Lattice parameters (Å, degrees): 4.395 4.395 4.395 60.00 60.00 60.00
Fractional coordinates of all 4 atoms:
Zn 0.000 0.000 0.000
Br 0.500 0.500 0.500
B 0.750 0.750 0.750
B 0.250 0.250 0.250

Output
Crystal system: cubic
Total magnetization: 0.000 μB/f.u.
Space-group type: Fm-3m, No. 225

Entry ii
Compound: ZnB2Br
Source: the Alexandria database
Functional: PBE-GGA
Structure: optimized geometry

Lattice parameters (Å, degrees): 5.123 5.123 6.199 65.59 65.59 90.00
Fractional coordinates of all 8 atoms:
B 0.588 0.125 0.250
B 0.162 0.625 0.250
B 0.375 0.412 0.750
Br 0.000 0.000 0.000
Zn 0.250 0.750 0.500
Zn 0.500 0.500 0.000
Br 0.750 0.250 0.500
B 0.875 0.838 0.750

Output
Crystal system: tetragonal
Total magnetization: 0.000 μB/f.u.
Space-group type: I-42d, No. 122

Most stable pick: entry ii. Distance to second place: 63.5 kJ/mol of atoms.